A relaxed structure of LaTb6Ho. Source: the Alexandria database, functional PBE-GGA.

Cell and atoms, written as extended XYZ:
```
8
Lattice="4.717 -3.483 0.000 4.717 3.483 0.000 -2.153 0.000 8.776" Properties=species:S:1:pos:R:3 pbc="T T T"
La 0.000 0.000 0.000
Tb 1.181 1.673 6.146
Tb 3.365 0.000 0.684
Tb 6.099 1.673 2.630
Tb 1.181 -1.673 6.146
Tb 3.916 0.000 8.092
Tb 6.099 -1.673 2.630
Ho 3.640 0.000 4.388
```

Output
VASP energy ... -34.2 eV per cell
Total moment ... 0.00 Bohr magnetons per cell
Space group ... C2/m
Polymorph energy (0 for the lowest one) ... 363 meV per atom
Energy of formation from the pure elements ... 0.39 eV/atom